No. 1
Crystalline LaMnCu at its relaxed geometry, computed with GGA-PBE.

Computed properties:
- Volume: 21.212 Å³ per atom
- DFT total energy: -5.99 eV per atom

Geometry as CIF:
```
data_LaMnCu
_chemical_formula_sum 'La4 Mn4 Cu4'
_symmetry_space_group_name_H-M 'C 1 2/m 1'
_symmetry_Int_Tables_number 12
_symmetry_space_group_name_Hall '-C 2y'
_cell_length_a 10.376
_cell_length_b 4.333
_cell_length_c 7.145
_cell_angle_alpha 90.00
_cell_angle_beta 127.60
_cell_angle_gamma 90.00
loop_
_atom_site_label
_atom_site_type_symbol
_atom_site_fract_x
_atom_site_fract_y
_atom_site_fract_z
La1 La 0.060 0.000 0.295
Mn1 Mn 0.195 0.500 0.090
Cu1 Cu 0.146 0.500 0.694
```


No. 2
Crystalline LaMn2Cu at its relaxed geometry, computed with GGA-PBE.

Computed properties:
- Volume: 18.386 Å³ per atom
- DFT total energy: -6.56 eV per atom

Geometry as CIF:
```
data_LaMn2Cu
_chemical_formula_sum 'La2 Mn4 Cu2'
_symmetry_space_group_name_H-M 'C 1 2/m 1'
_symmetry_Int_Tables_number 12
_symmetry_space_group_name_Hall '-C 2y'
_cell_length_a 7.237
_cell_length_b 4.137
_cell_length_c 5.456
_cell_angle_alpha 90.00
_cell_angle_beta 115.77
_cell_angle_gamma 90.00
loop_
_atom_site_label
_atom_site_type_symbol
_atom_site_fract_x
_atom_site_fract_y
_atom_site_fract_z
La1 La 0.000 0.000 0.000
Mn1 Mn 0.183 0.000 0.544
Cu1 Cu 0.000 0.500 0.500
```


No. 3
Crystalline LaMn2Cu at its relaxed geometry, computed with GGA-PBE.

Computed properties:
- Volume: 19.682 Å³ per atom
- DFT total energy: -6.76 eV per atom

Geometry as CIF:
```
data_LaMn2Cu
_chemical_formula_sum 'La3 Mn6 Cu3'
_symmetry_space_group_name_H-M 'R 3 m'
_symmetry_Int_Tables_number 160
_symmetry_space_group_name_Hall 'R 3 -2"'
_cell_length_a 4.2067
_cell_length_b 4.2067
_cell_length_c 15.4117
_cell_angle_alpha 90.00
_cell_angle_beta 90.00
_cell_angle_gamma 120.00
loop_
_atom_site_label
_atom_site_type_symbol
_atom_site_fract_x
_atom_site_fract_y
_atom_site_fract_z
La1 La 0.0000 0.0000 0.0000
Mn1 Mn 0.0000 0.0000 0.4907
Mn2 Mn 0.0000 0.0000 0.8070
Cu1 Cu 0.0000 0.0000 0.2002
```


No. 4
Crystalline LaMnCu at its relaxed geometry, computed with GGA-PBE.

Computed properties:
- Volume: 20.712 Å³ per atom
- DFT total energy: -5.90 eV per atom

Geometry as CIF:
```
data_LaMnCu
_chemical_formula_sum 'La2 Mn2 Cu2'
_symmetry_space_group_name_H-M 'I 4 m m'
_symmetry_Int_Tables_number 107
_symmetry_space_group_name_Hall 'I 4 -2'
_cell_length_a 3.404
_cell_length_b 3.404
_cell_length_c 10.725
_cell_angle_alpha 90.00
_cell_angle_beta 90.00
_cell_angle_gamma 90.00
loop_
_atom_site_label
_atom_site_type_symbol
_atom_site_fract_x
_atom_site_fract_y
_atom_site_fract_z
La1 La 0.000 0.000 0.000
Mn1 Mn 0.000 0.000 0.706
Cu1 Cu 0.000 0.000 0.296
```


No. 5
Crystalline La2Mn2Cu15 at its relaxed geometry, computed with GGA-PBE.

Computed properties:
- Volume: 14.646 Å³ per atom
- DFT total energy: -4.77 eV per atom

Geometry as CIF:
```
data_La2Mn2Cu15
_chemical_formula_sum 'La6 Mn6 Cu45'
_symmetry_space_group_name_H-M 'R -3 m'
_symmetry_Int_Tables_number 166
_symmetry_space_group_name_Hall '-R 3 2"'
_cell_length_a 8.7101
_cell_length_b 8.7101
_cell_length_c 12.7067
_cell_angle_alpha 90.00
_cell_angle_beta 90.00
_cell_angle_gamma 120.00
loop_
_atom_site_label
_atom_site_type_symbol
_atom_site_fract_x
_atom_site_fract_y
_atom_site_fract_z
La1 La 0.0000 0.0000 0.1577
Mn1 Mn 0.0000 0.0000 0.4031
Cu1 Cu 0.0000 0.2894 0.5000
Cu2 Cu 0.0000 0.5000 0.0000
Cu3 Cu 0.0029 0.5015 0.3453
```


No. 6
Crystalline LaMnCu at its relaxed geometry, computed with GGA-PBE.

Computed properties:
- Volume: 24.351 Å³ per atom
- DFT total energy: -5.74 eV per atom

Geometry as CIF:
```
data_LaMnCu
_chemical_formula_sum 'La4 Mn4 Cu4'
_symmetry_space_group_name_H-M 'F -4 3 m'
_symmetry_Int_Tables_number 216
_symmetry_space_group_name_Hall 'F -4 2 3'
_cell_length_a 6.636
_cell_length_b 6.636
_cell_length_c 6.636
_cell_angle_alpha 90.00
_cell_angle_beta 90.00
_cell_angle_gamma 90.00
loop_
_atom_site_label
_atom_site_type_symbol
_atom_site_fract_x
_atom_site_fract_y
_atom_site_fract_z
La1 La 0.000 0.000 0.000
Mn1 Mn 0.000 0.000 0.500
Cu1 Cu 0.250 0.250 0.750
```


Number 1: magnetic moment 3.5 μB per formula unit, calculated formation energy 0.08 eV/atom. Number 2: magnetic moment 0.0 μB per formula unit, calculated formation energy 0.29 eV/atom. Number 3: magnetic moment 0.5 μB per formula unit, calculated formation energy 0.08 eV/atom. Number 4: magnetic moment 3.3 μB per formula unit, calculated formation energy 0.17 eV/atom. Number 5: magnetic moment 7.0 μB per formula unit, calculated formation energy -0.05 eV/atom. Number 6: magnetic moment 3.8 μB per formula unit, calculated formation energy 0.32 eV/atom.